[1]
First-principles (PBE) data for a relaxed Pu2AlRu2 crystal, as listed in Alexandria.

CIF file:
```
data_Pu2AlRu2
_chemical_formula_sum 'Pu8 Al4 Ru8'
_cell_length_a 9.982
_cell_length_b 5.282
_cell_length_c 7.994
_cell_angle_alpha 90.00
_cell_angle_beta 109.70
_cell_angle_gamma 90.00
_symmetry_space_group_name_H-M 'C 1 2/c 1'
_symmetry_Int_Tables_number 15
loop_
_symmetry_equiv_pos_as_xyz
'x,y,z'
'-x,-y,-z'
'-x,y,-z+1/2'
'x,-y,z+1/2'
'x+1/2,y+1/2,z'
'-x+1/2,-y+1/2,-z'
'-x+1/2,y+1/2,-z+1/2'
'x+1/2,-y+1/2,z+1/2'
loop_
_atom_site_label
_atom_site_fract_x
_atom_site_fract_y
_atom_site_fract_z
Pu1 0.146 0.148 0.145
Al1 0.000 0.377 0.750
Ru1 0.135 0.345 0.530
```

Results
**E**: -52.48 eV/f.u.

[2]
First-principles (PBE) data for a relaxed Pu5AlRu6 crystal, as listed in Alexandria.

CIF file:
```
data_Pu5AlRu6
_chemical_formula_sum 'Pu10 Al2 Ru12'
_cell_length_a 4.634
_cell_length_b 6.611
_cell_length_c 14.407
_cell_angle_alpha 90.00
_cell_angle_beta 90.00
_cell_angle_gamma 90.00
_symmetry_space_group_name_H-M 'I m m m'
_symmetry_Int_Tables_number 71
_symmetry_space_group_name_Hall '-I 2 2'
loop_
_atom_site_label
_atom_site_fract_x
_atom_site_fract_y
_atom_site_fract_z
Pu1 0.000 0.000 0.000
Pu2 0.000 0.000 0.342
Pu3 0.000 0.500 0.327
Al1 0.000 0.500 0.000
Ru1 0.000 0.244 0.500
Ru2 0.000 0.258 0.155
```

Results
**E**: -133.58 eV/f.u.

[3]
First-principles (PBE) data for a relaxed Pu2Al3Ru crystal, as listed in Alexandria.

CIF file:
```
data_Pu2Al3Ru
_chemical_formula_sum 'Pu6 Al9 Ru3'
_cell_length_a 5.4584
_cell_length_b 5.4584
_cell_length_c 13.0496
_cell_angle_alpha 90.00
_cell_angle_beta 90.00
_cell_angle_gamma 120.00
_symmetry_space_group_name_H-M 'R -3 m'
_symmetry_Int_Tables_number 166
_symmetry_space_group_name_Hall '-R 3 2"'
loop_
_atom_site_label
_atom_site_fract_x
_atom_site_fract_y
_atom_site_fract_z
Pu1 0.0000 0.0000 0.1235
Al1 0.0000 0.5000 0.0000
Ru1 0.0000 0.0000 0.5000
```

Results
**E**: -51.45 eV/f.u.

[4]
First-principles (PBE) data for a relaxed PuAl5Ru6 crystal, as listed in Alexandria.

CIF file:
```
data_PuAl5Ru6
_chemical_formula_sum 'Pu2 Al10 Ru12'
_cell_length_a 4.317
_cell_length_b 12.972
_cell_length_c 6.181
_cell_angle_alpha 90.00
_cell_angle_beta 90.00
_cell_angle_gamma 90.00
_symmetry_space_group_name_H-M 'C m m m'
_symmetry_Int_Tables_number 65
_symmetry_space_group_name_Hall '-C 2 2'
loop_
_atom_site_label
_atom_site_fract_x
_atom_site_fract_y
_atom_site_fract_z
Pu1 0.000 0.000 0.000
Al1 0.000 0.000 0.500
Al2 0.000 0.327 0.000
Al3 0.000 0.332 0.500
Ru1 0.000 0.168 0.254
Ru2 0.000 0.500 0.258
```

Results
**E**: -95.62 eV/f.u.

[5]
First-principles (PBE) data for a relaxed PuSc2Al2Ru5 crystal, as listed in Alexandria.

CIF file:
```
data_PuSc2Al2Ru5
_chemical_formula_sum 'Pu2 Sc4 Al4 Ru10'
_cell_length_a 9.928
_cell_length_b 9.928
_cell_length_c 3.348
_cell_angle_alpha 90.00
_cell_angle_beta 90.00
_cell_angle_gamma 90.00
_symmetry_space_group_name_H-M 'P 4/m b m'
_symmetry_Int_Tables_number 127
_symmetry_space_group_name_Hall '-P 4 2ab'
loop_
_atom_site_label
_atom_site_fract_x
_atom_site_fract_y
_atom_site_fract_z
Pu1 0.000 0.000 0.000
Sc1 0.168 0.332 0.000
Al1 0.128 0.628 0.000
Ru1 0.000 0.500 0.500
Ru2 0.070 0.800 0.500
```

Results
**E**: -85.03 eV/f.u.

[6]
First-principles (PBE) data for a relaxed TmPuAlRu crystal, as listed in Alexandria.

CIF file:
```
data_TmPuAlRu
_chemical_formula_sum 'Tm4 Pu4 Al4 Ru4'
_cell_length_a 6.926
_cell_length_b 6.926
_cell_length_c 6.926
_cell_angle_alpha 90.00
_cell_angle_beta 90.00
_cell_angle_gamma 90.00
_symmetry_space_group_name_H-M 'F -4 3 m'
_symmetry_Int_Tables_number 216
_symmetry_space_group_name_Hall 'F -4 2 3'
loop_
_atom_site_label
_atom_site_fract_x
_atom_site_fract_y
_atom_site_fract_z
Tm1 0.000 0.000 0.000
Pu1 0.000 0.000 0.500
Al1 0.250 0.250 0.250
Ru1 0.250 0.250 0.750
```

Results
**E**: -32.68 eV/f.u.

[7]
First-principles (PBE) data for a relaxed Tm2PuAl2Ru5 crystal, as listed in Alexandria.

CIF file:
```
data_Tm2PuAl2Ru5
_chemical_formula_sum 'Tm4 Pu2 Al4 Ru10'
_cell_length_a 10.112
_cell_length_b 10.112
_cell_length_c 3.364
_cell_angle_alpha 90.00
_cell_angle_beta 90.00
_cell_angle_gamma 90.00
_symmetry_space_group_name_H-M 'P 4/m b m'
_symmetry_Int_Tables_number 127
_symmetry_space_group_name_Hall '-P 4 2ab'
loop_
_atom_site_label
_atom_site_fract_x
_atom_site_fract_y
_atom_site_fract_z
Tm1 0.170 0.330 0.000
Pu1 0.000 0.000 0.000
Al1 0.126 0.626 0.000
Ru1 0.000 0.500 0.500
Ru2 0.068 0.799 0.500
```

Results
**E**: -81.58 eV/f.u.

[8]
First-principles (PBE) data for a relaxed Pu2Al2S7 crystal, as listed in Alexandria.

CIF file:
```
data_Pu2Al2S7
_chemical_formula_sum 'Pu4 Al4 S14'
_cell_length_a 8.450
_cell_length_b 10.796
_cell_length_c 6.295
_cell_angle_alpha 90.00
_cell_angle_beta 101.25
_cell_angle_gamma 90.00
_symmetry_space_group_name_H-M 'C 1 2/m 1'
_symmetry_Int_Tables_number 12
loop_
_symmetry_equiv_pos_as_xyz
'x,y,z'
'-x,-y,-z'
'-x,y,-z'
'x,-y,z'
'x+1/2,y+1/2,z'
'-x+1/2,-y+1/2,-z'
'-x+1/2,y+1/2,-z'
'x+1/2,-y+1/2,z'
loop_
_atom_site_label
_atom_site_fract_x
_atom_site_fract_y
_atom_site_fract_z
Pu1 0.000 0.192 0.000
Al1 0.234 0.500 0.405
S1 0.000 0.500 0.500
S2 0.100 0.000 0.260
S3 0.244 0.179 0.771
```

Results
**Formation energy from raw total energies**: -1081 meV per atom
**E**: -76.93 eV/f.u.

> Among the records above, which one has the lowest E?

Pu5AlRu6

> Which of these has the lowest E?

Pu5AlRu6

> Among the records above, which one has the lowest E?

Pu5AlRu6

> Which of these has the highest E?

TmPuAlRu